{"formula": "TaFeTe2", "functional": "PBE", "state": "relaxed", "n_ef_per_ev_atom": 1.150, "volume_a3_per_fu": 80.7, "total_magnetization_mub_per_fu": 1.66, "final_energy_ev_per_cell": -24.17, "formation_energy_uncorrected_ev_per_fu": 2.4, "space_group": "I-4m2, No. 119", "cell": [[-4.1075, 1.1136, -3.8668], [-5.5421, 0.0753, 1.5306], [5.0244, 2.1775, 1.7544]], "species": ["Te", "Te", "Ta", "Fe"], "frac_coords": [[0.0000, 0.0000, 0.0000], [0.2500, 0.7500, 0.5000], [0.7500, 0.2500, 0.5000], [0.5000, 0.5000, 0.0000]]}